# MgTlI2O, optimized geometry, DFT GGA-PBE
data_MgTlI2O
_cell_length_a 6.2742
_cell_length_b 6.2742
_cell_length_c 3.7776
_cell_angle_alpha 90.00
_cell_angle_beta 90.00
_cell_angle_gamma 90.00
_symmetry_space_group_name_H-M 'P 4/m m m'
_symmetry_Int_Tables_number 123
_symmetry_space_group_name_Hall '-P 4 2'
loop_
_atom_site_label
_atom_site_type_symbol
_atom_site_fract_x
_atom_site_fract_y
_atom_site_fract_z
_atom_site_occupancy
Mg1 Mg 0.0000 0.0000 0.0000 1
Tl1 Tl 0.5000 0.5000 0.5000 1
I1 I 0.0000 0.5000 0.0000 1
O1 O 0.0000 0.0000 0.5000 1
# Energy relative to the elements, uncorrected ... -0.82 eV/atom

# RbHg3Sb, optimized geometry, DFT GGA-PBE
data_RbHg3Sb
_cell_length_a 6.6140
_cell_length_b 6.6140
_cell_length_c 6.6140
_cell_angle_alpha 90.00
_cell_angle_beta 90.00
_cell_angle_gamma 90.00
_symmetry_space_group_name_H-M 'P m -3 m'
_symmetry_Int_Tables_number 221
_symmetry_space_group_name_Hall '-P 4 2 3'
loop_
_atom_site_label
_atom_site_type_symbol
_atom_site_fract_x
_atom_site_fract_y
_atom_site_fract_z
_atom_site_occupancy
Rb1 Rb 0.0000 0.0000 0.0000 1
Hg1 Hg 0.0000 0.0000 0.5000 1
Sb1 Sb 0.5000 0.5000 0.5000 1
# Energy relative to the elements, uncorrected ... 0.49 eV/atom

# FeCu2Pt, optimized geometry, DFT GGA-PBE
data_FeCu2Pt
_cell_length_a 5.9288
_cell_length_b 5.9288
_cell_length_c 5.9288
_cell_angle_alpha 90.00
_cell_angle_beta 90.00
_cell_angle_gamma 90.00
_symmetry_space_group_name_H-M 'F m -3 m'
_symmetry_Int_Tables_number 225
_symmetry_space_group_name_Hall '-F 4 2 3'
loop_
_atom_site_label
_atom_site_type_symbol
_atom_site_fract_x
_atom_site_fract_y
_atom_site_fract_z
_atom_site_occupancy
Fe1 Fe 0.0000 0.0000 0.0000 1
Cu1 Cu 0.2500 0.2500 0.2500 1
Pt1 Pt 0.0000 0.0000 0.5000 1
# Formation energy from the elements ... -4 meV per atom

# SmY6Mg2, optimized geometry, DFT GGA-PBE
data_SmY6Mg2
_cell_length_a 7.2610
_cell_length_b 7.2610
_cell_length_c 19.2334
_cell_angle_alpha 90.00
_cell_angle_beta 90.00
_cell_angle_gamma 120.00
_symmetry_space_group_name_H-M 'R 3'
_symmetry_Int_Tables_number 146
_symmetry_space_group_name_Hall 'R 3'
loop_
_atom_site_label
_atom_site_type_symbol
_atom_site_fract_x
_atom_site_fract_y
_atom_site_fract_z
_atom_site_occupancy
Sm1 Sm 0.0000 0.0000 0.0000 1
Y1 Y 0.0037 0.5008 0.4516 1
Y2 Y 0.0389 0.5203 0.2521 1
Mg1 Mg 0.0000 0.0000 0.2614 1
Mg2 Mg 0.0000 0.0000 0.4391 1
# Formation energy from the elements ... 446 meV per atom

# PmHo2MgRh4, optimized geometry, DFT GGA-PBE
data_PmHo2MgRh4
_cell_length_a 4.7582
_cell_length_b 4.7582
_cell_length_c 23.5003
_cell_angle_alpha 90.00
_cell_angle_beta 90.00
_cell_angle_gamma 120.00
_symmetry_space_group_name_H-M 'R -3 m'
_symmetry_Int_Tables_number 166
_symmetry_space_group_name_Hall '-R 3 2"'
loop_
_atom_site_label
_atom_site_type_symbol
_atom_site_fract_x
_atom_site_fract_y
_atom_site_fract_z
_atom_site_occupancy
Pm1 Pm 0.0000 0.0000 0.0000 1
Ho1 Ho 0.0000 0.0000 0.2434 1
Mg1 Mg 0.0000 0.0000 0.5000 1
Rh1 Rh 0.0000 0.0000 0.1257 1
Rh2 Rh 0.0000 0.0000 0.3783 1
# Formation energy from the elements ... -764 meV per atom

# CuRhNO2, optimized geometry, DFT GGA-PBE
data_CuRhNO2
_cell_length_a 4.0107
_cell_length_b 4.0107
_cell_length_c 3.6774
_cell_angle_alpha 90.00
_cell_angle_beta 90.00
_cell_angle_gamma 90.00
_symmetry_space_group_name_H-M 'P 4/m m m'
_symmetry_Int_Tables_number 123
_symmetry_space_group_name_Hall '-P 4 2'
loop_
_atom_site_label
_atom_site_type_symbol
_atom_site_fract_x
_atom_site_fract_y
_atom_site_fract_z
_atom_site_occupancy
Cu1 Cu 0.0000 0.0000 0.0000 1
Rh1 Rh 0.5000 0.5000 0.5000 1
N1 N 0.5000 0.5000 0.0000 1
O1 O 0.0000 0.5000 0.5000 1
# Energy relative to the elements, uncorrected ... 0.60 eV/atom

# K2MoH6, optimized geometry, DFT GGA-PBE
data_K2MoH6
_cell_length_a 6.1401
_cell_length_b 6.1401
_cell_length_c 3.5470
_cell_angle_alpha 90.00
_cell_angle_beta 90.00
_cell_angle_gamma 120.00
_symmetry_space_group_name_H-M 'P -3 m 1'
_symmetry_Int_Tables_number 164
_symmetry_space_group_name_Hall '-P 3 2"'
loop_
_atom_site_label
_atom_site_type_symbol
_atom_site_fract_x
_atom_site_fract_y
_atom_site_fract_z
_atom_site_occupancy
K1 K 0.3333 0.6667 0.3023 1
Mo1 Mo 0.0000 0.0000 0.0000 1
H1 H 0.1564 0.3128 0.7972 1
# E_tot ... -3.5466 eV/atom

# PrDyAu3, optimized geometry, DFT GGA-PBE
data_PrDyAu3
_cell_length_a 3.7085
_cell_length_b 28.4160
_cell_length_c 4.6037
_cell_angle_alpha 90.00
_cell_angle_beta 90.00
_cell_angle_gamma 90.00
_symmetry_space_group_name_H-M 'C m c m'
_symmetry_Int_Tables_number 63
_symmetry_space_group_name_Hall '-C 2c 2'
loop_
_atom_site_label
_atom_site_type_symbol
_atom_site_fract_x
_atom_site_fract_y
_atom_site_fract_z
_atom_site_occupancy
Pr1 Pr 0.0000 0.0728 0.2500 1
Dy1 Dy 0.0000 0.2065 0.7500 1
Au1 Au 0.0000 0.3134 0.7500 1
Au2 Au 0.0000 0.3762 0.2500 1
Au3 Au 0.0000 0.4735 0.2500 1
# Formation energy from the elements ... -811 meV per atom